# KGe2Cl

A relaxed structure of KGe2Cl (PBE, Alexandria via LeMat-Bulk).

Summary:
* DOS(E_F): 1.20 states/eV/f.u.
* E_form (uncorrected): -1.60 eV/f.u.

a = 16.4092 Å, b = 16.4092 Å, c = 16.4092 Å
α = 166.11°, β = 166.11°, γ = 19.69°
Atoms (fractional coordinates):
K (0.0000, 0.0000, 0.0000)
K (0.7500, 0.2500, 0.5000)
Ge (0.1014, 0.6250, 0.9764)
Ge (0.3750, 0.3514, 0.4764)
Ge (0.6486, 0.1250, 0.0236)
Ge (0.8750, 0.8986, 0.5236)
Cl (0.2500, 0.7500, 0.5000)
Cl (0.5000, 0.5000, 0.0000)


# KGeCl3

A relaxed structure of KGeCl3 (PBE, Alexandria via LeMat-Bulk).

Summary:
* DOS(E_F): 0.00 states/eV/f.u.
* E_form (uncorrected): -6.39 eV/f.u.

a = 5.2219 Å, b = 7.9024 Å, c = 8.4546 Å
α = 88.94°, β = 79.59°, γ = 87.60°
Atoms (fractional coordinates):
K (0.0000, 0.0000, 0.0000)
K (0.0577, 0.4267, 0.3972)
Ge (0.5861, 0.4920, 0.8672)
Ge (0.6343, 0.9735, 0.5017)
Cl (0.1796, 0.3960, 0.0049)
Cl (0.4621, 0.5543, 0.6166)
Cl (0.5244, 0.7764, 0.9609)
Cl (0.6164, 0.1896, 0.2987)
Cl (0.8928, 0.1292, 0.6517)
Cl (0.9937, 0.8285, 0.3465)


# KGeCl3

A relaxed structure of KGeCl3 (PBE, Alexandria via LeMat-Bulk).

Summary:
* DOS(E_F): 0.00 states/eV/f.u.
* E_form (uncorrected): -5.87 eV/f.u.

a = 4.1313 Å, b = 7.5786 Å, c = 7.5786 Å
α = 70.09°, β = 90.00°, γ = 90.00°
Atoms (fractional coordinates):
K (0.0000, 0.0000, 0.0000)
Ge (0.5000, 0.3673, 0.3673)
Cl (0.0000, 0.1666, 0.5771)
Cl (0.0000, 0.5771, 0.1666)
Cl (0.5000, 0.1775, 0.1775)


# K3Ge2Cl8

A relaxed structure of K3Ge2Cl8 (PBE, Alexandria via LeMat-Bulk).

Summary:
* DOS(E_F): 3.23 states/eV/f.u.
* E_form (uncorrected): -16.58 eV/f.u.

a = 9.1157 Å, b = 9.1157 Å, c = 9.1157 Å
α = 50.59°, β = 50.59°, γ = 50.59°
Atoms (fractional coordinates):
K (0.0000, 0.0000, 0.0000)
K (0.2093, 0.2093, 0.2093)
K (0.7907, 0.7907, 0.7907)
Ge (0.4381, 0.4381, 0.4381)
Ge (0.5619, 0.5619, 0.5619)
Cl (0.1994, 0.7427, 0.7427)
Cl (0.2573, 0.2573, 0.8006)
Cl (0.2573, 0.8006, 0.2573)
Cl (0.3409, 0.3409, 0.3409)
Cl (0.6591, 0.6591, 0.6591)
Cl (0.7427, 0.1994, 0.7427)
Cl (0.7427, 0.7427, 0.1994)
Cl (0.8006, 0.2573, 0.2573)


# KGeCl3

A relaxed structure of KGeCl3 (PBE, Alexandria via LeMat-Bulk).

Summary:
* DOS(E_F): 0.00 states/eV/f.u.
* E_form (uncorrected): -6.05 eV/f.u.

a = 9.5731 Å, b = 9.5731 Å, c = 8.1810 Å
α = 96.69°, β = 96.69°, γ = 24.59°
Atoms (fractional coordinates):
K (0.1325, 0.1325, 0.1162)
K (0.8675, 0.8675, 0.8838)
Ge (0.4041, 0.4041, 0.3659)
Ge (0.5959, 0.5959, 0.6341)
Cl (0.0258, 0.0258, 0.7823)
Cl (0.1607, 0.1607, 0.5009)
Cl (0.3144, 0.3144, 0.1363)
Cl (0.6856, 0.6856, 0.8637)
Cl (0.8393, 0.8393, 0.4991)
Cl (0.9742, 0.9742, 0.2177)


# KGeCl

A relaxed structure of KGeCl (PBE, Alexandria via LeMat-Bulk).

Summary:
* DOS(E_F): 0.16 states/eV/f.u.
* E_form (uncorrected): -2.88 eV/f.u.

a = 3.7462 Å, b = 3.7462 Å, c = 11.8671 Å
α = 98.93°, β = 98.93°, γ = 89.98°
Atoms (fractional coordinates):
K (0.0000, 0.0000, 0.0000)
K (0.1608, 0.1608, 0.3324)
Ge (0.3249, 0.3249, 0.6423)
Ge (0.7951, 0.7951, 0.5819)
Cl (0.4322, 0.4322, 0.8619)
Cl (0.5877, 0.5877, 0.1839)


# K2Ge2Cl7

A relaxed structure of K2Ge2Cl7 (PBE, Alexandria via LeMat-Bulk).

Summary:
* DOS(E_F): 5.35 states/eV/f.u.
* E_form (uncorrected): -13.00 eV/f.u.

a = 7.9988 Å, b = 7.9988 Å, c = 6.2637 Å
α = 97.74°, β = 97.74°, γ = 90.03°
Atoms (fractional coordinates):
K (0.2239, 0.7761, 0.0000)
K (0.7761, 0.2239, 0.0000)
Ge (0.2729, 0.2729, 0.5462)
Ge (0.7271, 0.7271, 0.4538)
Cl (0.0890, 0.4040, 0.7749)
Cl (0.0906, 0.0906, 0.2866)
Cl (0.4040, 0.0890, 0.7749)
Cl (0.5000, 0.5000, 0.5000)
Cl (0.5960, 0.9110, 0.2251)
Cl (0.9094, 0.9094, 0.7134)
Cl (0.9110, 0.5960, 0.2251)


# KGeCl3

A relaxed structure of KGeCl3 (PBE, Alexandria via LeMat-Bulk).

Summary:
* DOS(E_F): 0.00 states/eV/f.u.
* E_form (uncorrected): -6.19 eV/f.u.

a = 9.6246 Å, b = 9.6246 Å, c = 6.8972 Å
α = 90.24°, β = 90.24°, γ = 90.44°
Atoms (fractional coordinates):
K (0.1281, 0.3138, 0.1076)
K (0.3138, 0.1281, 0.6076)
K (0.6862, 0.8719, 0.3924)
K (0.8719, 0.6862, 0.8924)
Ge (0.2398, 0.7602, 0.2500)
Ge (0.4226, 0.5774, 0.7500)
Ge (0.5774, 0.4226, 0.2500)
Ge (0.7602, 0.2398, 0.7500)
Cl (0.9998, 0.2418, 0.6570)
Cl (0.0002, 0.7582, 0.3430)
Cl (0.1802, 0.6116, 0.9121)
Cl (0.2418, 0.9998, 0.1570)
Cl (0.3202, 0.4422, 0.4358)
Cl (0.3884, 0.8198, 0.5879)
Cl (0.4422, 0.3202, 0.9358)
Cl (0.5578, 0.6798, 0.0642)
Cl (0.6116, 0.1802, 0.4121)
Cl (0.6798, 0.5578, 0.5642)
Cl (0.7582, 0.0002, 0.8430)
Cl (0.8198, 0.3884, 0.0879)


# KGe2Cl

A relaxed structure of KGe2Cl (PBE, Alexandria via LeMat-Bulk).

Summary:
* DOS(E_F): 3.66 states/eV/f.u.
* E_form (uncorrected): 1.86 eV/f.u.

a = 5.3034 Å, b = 5.3034 Å, c = 5.3034 Å
α = 60.00°, β = 60.00°, γ = 60.00°
Atoms (fractional coordinates):
K (0.0000, 0.0000, 0.0000)
Ge (0.2500, 0.2500, 0.2500)
Ge (0.7500, 0.7500, 0.7500)
Cl (0.5000, 0.5000, 0.5000)


# K2GeCl3

A relaxed structure of K2GeCl3 (PBE, Alexandria via LeMat-Bulk).

Summary:
* DOS(E_F): 0.49 states/eV/f.u.
* E_form (uncorrected): -7.90 eV/f.u.

a = 9.0351 Å, b = 9.0351 Å, c = 9.0351 Å
α = 154.79°, β = 146.04°, γ = 42.76°
Atoms (fractional coordinates):
K (0.1493, 0.1493, 0.0000)
K (0.8507, 0.8507, 0.0000)
Ge (0.5000, 0.5000, 0.0000)
Cl (0.0000, 0.5000, 0.5000)
Cl (0.3372, 0.3372, 0.0000)
Cl (0.6628, 0.6628, 0.0000)


# KGe2Cl5

A relaxed structure of KGe2Cl5 (PBE, Alexandria via LeMat-Bulk).

Summary:
* DOS(E_F): 0.00 states/eV/f.u.
* E_form (uncorrected): -8.71 eV/f.u.

a = 6.7087 Å, b = 6.7087 Å, c = 13.9373 Å
α = 90.00°, β = 90.00°, γ = 133.13°
Atoms (fractional coordinates):
K (0.0221, 0.9779, 0.7500)
K (0.9779, 0.0221, 0.2500)
Ge (0.3592, 0.6408, 0.5698)
Ge (0.3592, 0.6408, 0.9302)
Ge (0.6408, 0.3592, 0.0698)
Ge (0.6408, 0.3592, 0.4302)
Cl (0.1464, 0.8536, 0.0645)
Cl (0.1464, 0.8536, 0.4355)
Cl (0.2982, 0.7018, 0.7500)
Cl (0.4520, 0.5480, 0.1176)
Cl (0.4520, 0.5480, 0.3824)
Cl (0.5480, 0.4520, 0.6176)
Cl (0.5480, 0.4520, 0.8824)
Cl (0.7018, 0.2982, 0.2500)
Cl (0.8536, 0.1464, 0.5645)
Cl (0.8536, 0.1464, 0.9355)


# KGeCl3

A relaxed structure of KGeCl3 (PBE, Alexandria via LeMat-Bulk).

Summary:
* DOS(E_F): 0.00 states/eV/f.u.
* E_form (uncorrected): -6.40 eV/f.u.

a = 5.1119 Å, b = 7.5250 Å, c = 8.8931 Å
α = 90.05°, β = 90.07°, γ = 96.72°
Atoms (fractional coordinates):
K (0.0000, 0.0000, 0.0000)
K (0.4989, 0.4995, 0.6983)
Ge (0.3318, 0.4896, 0.1802)
Ge (0.8313, 0.9885, 0.5178)
Cl (0.0329, 0.7847, 0.6757)
Cl (0.1766, 0.0564, 0.3509)
Cl (0.4565, 0.7361, 0.0119)
Cl (0.5328, 0.2849, 0.0228)
Cl (0.6769, 0.5568, 0.3481)
Cl (0.9546, 0.2355, 0.6866)


# K2GeCl4

A relaxed structure of K2GeCl4 (PBE, Alexandria via LeMat-Bulk).

Summary:
* DOS(E_F): 0.00 states/eV/f.u.
* E_form (uncorrected): -10.16 eV/f.u.

a = 8.8008 Å, b = 8.8008 Å, c = 8.8008 Å
α = 145.33°, β = 145.33°, γ = 49.84°
Atoms (fractional coordinates):
K (0.1401, 0.1401, 0.0000)
K (0.8599, 0.8599, 0.0000)
Ge (0.5000, 0.5000, 0.0000)
Cl (0.0000, 0.5000, 0.5000)
Cl (0.3335, 0.3335, 0.0000)
Cl (0.5000, 0.0000, 0.5000)
Cl (0.6665, 0.6665, 0.0000)


# KGeCl3

A relaxed structure of KGeCl3 (PBE, Alexandria via LeMat-Bulk).

Summary:
* DOS(E_F): 0.00 states/eV/f.u.
* E_form (uncorrected): -5.10 eV/f.u.

a = 8.5013 Å, b = 8.5013 Å, c = 9.2534 Å
α = 90.00°, β = 90.00°, γ = 133.35°
Atoms (fractional coordinates):
K (0.1133, 0.8867, 0.7500)
K (0.8867, 0.1133, 0.2500)
Ge (0.3885, 0.6115, 0.7500)
Ge (0.6115, 0.3885, 0.2500)
Cl (0.0000, 0.0000, 0.0000)
Cl (0.0000, 0.0000, 0.5000)
Cl (0.0465, 0.4602, 0.7500)
Cl (0.4602, 0.0465, 0.2500)
Cl (0.5398, 0.9535, 0.7500)
Cl (0.9535, 0.5398, 0.2500)


# K4GeCl6

A relaxed structure of K4GeCl6 (PBE, Alexandria via LeMat-Bulk).

Summary:
* DOS(E_F): 0.00 states/eV/f.u.
* E_form (uncorrected): -18.15 eV/f.u.

a = 8.7423 Å, b = 8.7423 Å, c = 8.7423 Å
α = 89.98°, β = 89.98°, γ = 89.98°
Atoms (fractional coordinates):
K (0.1271, 0.7500, 0.3729)
K (0.2500, 0.2500, 0.2500)
K (0.2500, 0.6271, 0.8729)
K (0.3729, 0.1271, 0.7500)
K (0.6271, 0.8729, 0.2500)
K (0.7500, 0.3729, 0.1271)
K (0.7500, 0.7500, 0.7500)
K (0.8729, 0.2500, 0.6271)
Ge (0.0000, 0.0000, 0.0000)
Ge (0.5000, 0.5000, 0.5000)
Cl (0.0564, 0.9294, 0.7043)
Cl (0.0706, 0.2957, 0.9436)
Cl (0.2043, 0.4294, 0.5564)
Cl (0.2957, 0.9436, 0.0706)
Cl (0.4294, 0.5564, 0.2043)
Cl (0.4436, 0.7957, 0.5706)
Cl (0.5564, 0.2043, 0.4294)
Cl (0.5706, 0.4436, 0.7957)
Cl (0.7043, 0.0564, 0.9294)
Cl (0.7957, 0.5706, 0.4436)
Cl (0.9294, 0.7043, 0.0564)
Cl (0.9436, 0.0706, 0.2957)


# K2GeCl4

A relaxed structure of K2GeCl4 (PBE, Alexandria via LeMat-Bulk).

Summary:
* DOS(E_F): 0.00 states/eV/f.u.
* E_form (uncorrected): -10.24 eV/f.u.

a = 6.2478 Å, b = 6.8851 Å, c = 11.0459 Å
α = 90.00°, β = 91.39°, γ = 90.00°
Atoms (fractional coordinates):
K (0.2011, 0.2500, 0.4957)
K (0.2022, 0.2500, 0.0076)
K (0.7978, 0.7500, 0.9924)
K (0.7989, 0.7500, 0.5043)
Ge (0.3056, 0.7500, 0.2535)
Ge (0.6944, 0.2500, 0.7465)
Cl (0.0463, 0.5040, 0.2497)
Cl (0.0463, 0.9960, 0.2497)
Cl (0.3002, 0.7500, 0.4963)
Cl (0.3015, 0.7500, 0.0122)
Cl (0.6985, 0.2500, 0.9878)
Cl (0.6998, 0.2500, 0.5037)
Cl (0.9537, 0.0040, 0.7503)
Cl (0.9537, 0.4960, 0.7503)


# KGeCl3

A relaxed structure of KGeCl3 (PBE, Alexandria via LeMat-Bulk).

Summary:
* DOS(E_F): 1.89 states/eV/f.u.
* E_form (uncorrected): -3.28 eV/f.u.

a = 11.6123 Å, b = 11.6123 Å, c = 11.6123 Å
α = 152.43°, β = 152.43°, γ = 39.39°
Atoms (fractional coordinates):
K (0.0000, 0.0000, 0.0000)
K (0.7500, 0.2500, 0.5000)
Ge (0.1848, 0.6848, 0.5000)
Ge (0.3152, 0.8152, 0.5000)
Cl (0.2926, 0.2926, 0.0000)
Cl (0.3725, 0.1232, 0.2493)
Cl (0.7074, 0.7074, 0.0000)
Cl (0.8739, 0.1232, 0.7507)
Cl (0.8768, 0.1261, 0.2493)
Cl (0.8768, 0.6275, 0.7507)


# K2Ge2Cl5

A relaxed structure of K2Ge2Cl5 (PBE, Alexandria via LeMat-Bulk).

Summary:
* DOS(E_F): 0.02 states/eV/f.u.
* E_form (uncorrected): -10.18 eV/f.u.

a = 11.5725 Å, b = 11.5725 Å, c = 11.5725 Å
α = 53.09°, β = 141.38°, γ = 145.00°
Atoms (fractional coordinates):
K (0.0391, 0.1376, 0.1766)
K (0.0391, 0.3624, 0.4015)
K (0.9609, 0.6376, 0.5985)
K (0.9609, 0.8624, 0.8234)
Ge (0.4152, 0.8274, 0.0878)
Ge (0.5367, 0.0367, 0.5000)
Ge (0.5367, 0.5367, 0.0000)
Ge (0.7397, 0.3274, 0.9122)
Cl (0.0979, 0.2567, 0.7590)
Cl (0.0979, 0.8389, 0.3412)
Cl (0.4430, 0.7027, 0.9810)
Cl (0.4430, 0.9619, 0.2403)
Cl (0.4978, 0.3389, 0.2410)
Cl (0.4978, 0.7567, 0.6588)
Cl (0.5401, 0.4308, 0.6093)
Cl (0.7217, 0.2027, 0.7597)
Cl (0.7217, 0.4619, 0.0190)
Cl (0.8214, 0.9308, 0.3907)


# KGeCl3

A relaxed structure of KGeCl3 (PBE, Alexandria via LeMat-Bulk).

Summary:
* DOS(E_F): 0.00 states/eV/f.u.
* E_form (uncorrected): -5.06 eV/f.u.

a = 4.6069 Å, b = 4.6069 Å, c = 7.8143 Å
α = 90.00°, β = 90.00°, γ = 90.00°
Atoms (fractional coordinates):
K (0.0000, 0.0000, 0.0000)
Ge (0.5000, 0.5000, 0.4281)
Cl (0.0000, 0.0000, 0.6289)
Cl (0.0000, 0.5000, 0.2639)
Cl (0.5000, 0.0000, 0.2639)


# K5GeCl8

A relaxed structure of K5GeCl8 (PBE, Alexandria via LeMat-Bulk).

Summary:
* DOS(E_F): 2.81 states/eV/f.u.
* E_form (uncorrected): -21.33 eV/f.u.

a = 8.8668 Å, b = 8.8668 Å, c = 8.8668 Å
α = 116.29°, β = 116.29°, γ = 96.56°
Atoms (fractional coordinates):
K (0.0000, 0.0000, 0.0000)
K (0.0869, 0.4759, 0.8040)
K (0.5241, 0.3281, 0.6110)
K (0.6719, 0.2829, 0.1960)
K (0.7171, 0.9131, 0.3890)
Ge (0.2500, 0.7500, 0.5000)
Cl (0.3506, 0.0662, 0.7116)
Cl (0.3546, 0.6390, 0.2884)
Cl (0.3610, 0.6494, 0.7156)
Cl (0.3975, 0.0280, 0.1899)
Cl (0.7924, 0.6025, 0.6306)
Cl (0.8381, 0.2076, 0.8101)
Cl (0.9338, 0.6454, 0.2844)
Cl (0.9720, 0.1619, 0.3694)


# KGeCl3

A relaxed structure of KGeCl3 (PBE, Alexandria via LeMat-Bulk).

Summary:
* DOS(E_F): 0.00 states/eV/f.u.
* E_form (uncorrected): -6.30 eV/f.u.

a = 5.3557 Å, b = 5.6610 Å, c = 5.6610 Å
α = 77.99°, β = 90.00°, γ = 90.00°
Atoms (fractional coordinates):
K (0.0000, 0.0000, 0.0000)
Ge (0.5000, 0.6063, 0.6063)
Cl (0.0000, 0.6336, 0.6336)
Cl (0.5000, 0.1793, 0.6725)
Cl (0.5000, 0.6725, 0.1793)